[1]
YBeOs2 | PBE | relaxed

N(E_F) = 2.999 states/eV per cell
Calculated formation energy = 18 kJ/mol of atoms
Symmetry = No. 10

Structure (POSCAR):
```
YBeOs2
1.0
-1.274 1.545 3.274
1.294 -2.176 1.531
5.437 1.985 1.179
Os Y Be
2 1 1
Direct
0.000 0.920 0.941 Os
0.000 0.580 0.559 Os
0.500 0.250 0.250 Y
0.500 0.750 0.750 Be
```

[2]
CeErAl | PBE | relaxed

N(E_F) = 5.213 states/eV per cell
Excess energy over the best structure of this formula in the dataset = 0.13 eV per formula unit
Calculated formation energy = -17 kJ/mol of atoms
Symmetry = No. 107

Structure (POSCAR):
```
CeErAl
1.0
-2.374 1.652 1.662
0.581 -1.876 2.696
5.638 4.725 0.009
Al Ce Er
1 1 1
Direct
0.664 0.664 0.328 Al
0.317 0.317 0.633 Ce
0.019 0.019 0.039 Er
```

[3]
As4Br | PBE | relaxed

N(E_F) = 2.817 states/eV per cell
Excess energy over the best structure of this formula in the dataset = 0.65 eV per formula unit
Formation energy (no corrections) = 0.206 eV per atom
Symmetry = No. 139

Structure (POSCAR):
```
As4Br
1.0
5.200 -1.936 -2.308
-4.224 -1.502 4.003
-3.324 -1.079 -4.889
As Br
4 1
Direct
0.500 0.836 0.336 As
0.836 0.500 0.336 As
0.500 0.164 0.664 As
0.164 0.500 0.664 As
0.000 0.000 0.000 Br
```